Record 1
Material: Pu2CdAu
Method: DFT, PBE
State: optimized geometry

Lattice parameters (Å, degrees): 3.1841 3.1841 9.4206 90.00 90.00 90.00
With the nearest neighbours (Å) after each atom.
Element x y z (fractional)
Pu 0.5000 0.0000 0.2362  4 Au 3.17, 4 Pu 3.18, 4 Cd 3.35
Pu 0.5000 0.0000 0.7638  4 Au 3.17, 4 Pu 3.18, 4 Cd 3.35
Cd 0.0000 0.5000 0.5000  4 Cd 3.18, 8 Pu 3.35
Au 0.0000 0.5000 0.0000  8 Pu 3.17, 4 Au 3.18

Values from the calculation:
The offset from the most stable computed form comes out at 0.00 kJ/mol of atoms. The calculation puts the calculated formation energy at -187 meV/atom. As for the final energy: -8.4009 eV/atom.


Record 2
Material: Zr2InP
Method: DFT, PBE
State: optimized geometry

Lattice parameters (Å, degrees): 3.9510 3.8892 5.5837 69.69 90.00 90.00
With the nearest neighbours (Å) after each atom.
Element x y z (fractional)
Zr 0.0000 0.9833 0.9095  4 P 2.82, 3 In 2.87-3.06
Zr 0.5000 0.2777 0.3189  1 P 2.64, 4 In 2.87
In 0.0000 0.7084 0.4578  2 P 2.72, 5 Zr 2.87
P 0.5000 0.5307 0.8137  5 Zr 2.64-2.82, 2 In 2.72

Values from the calculation:
The offset from the most stable computed form comes out at 27.39 kJ/mol of atoms. The calculation puts the calculated formation energy at -567 meV/atom. As for the final energy: -6.8781 eV/atom.


Record 3
Material: HfMn2In
Method: DFT, PBE
State: optimized geometry

Lattice parameters (Å, degrees): 7.3005 7.3005 5.9002 51.78 51.78 90.00
With the nearest neighbours (Å) after each atom.
Element x y z (fractional)
Mn 0.6262 0.1250 0.2500  2 Hf 2.67, 2 In 2.68, 2 Mn 2.86
Mn 0.1238 0.6250 0.2500  2 Hf 2.67, 2 In 2.68, 2 Mn 2.86
Mn 0.3750 0.3738 0.7500  2 Hf 2.67, 2 In 2.68, 2 Mn 2.86
Mn 0.8750 0.8762 0.7500  2 Hf 2.67, 2 In 2.68, 2 Mn 2.86
Hf 0.0000 0.0000 0.0000  4 Mn 2.67, 2 In 2.86
Hf 0.7500 0.2500 0.5000  4 Mn 2.67, 2 In 2.86
In 0.5000 0.5000 0.0000  4 Mn 2.68, 2 Hf 2.86
In 0.2500 0.7500 0.5000  4 Mn 2.68, 2 Hf 2.86

Values from the calculation:
The calculation puts the calculated formation energy at 566 meV/atom. As for the final energy: -7.1914 eV/atom.


Record 4
Material: Ni23Pt6W
Method: DFT, PBE
State: optimized geometry

Lattice parameters (Å, degrees): 8.0411 8.0411 8.0411 60.00 60.00 60.00
With the nearest neighbours (Å) after each atom.
Element x y z (fractional)
Ni 0.6317 0.1228 0.1228  7 Ni 2.42-2.52, 3 Pt 2.60
Ni 0.3683 0.8772 0.8772  7 Ni 2.42-2.52, 3 Pt 2.60
Ni 0.1228 0.1228 0.6317  7 Ni 2.42-2.52, 3 Pt 2.60
Ni 0.1228 0.1228 0.1228  7 Ni 2.42-2.52, 3 Pt 2.60
Ni 0.8772 0.8772 0.3683  7 Ni 2.42-2.52, 3 Pt 2.60
Ni 0.8772 0.8772 0.8772  7 Ni 2.42-2.52, 3 Pt 2.60
Ni 0.1228 0.6317 0.1228  7 Ni 2.42-2.52, 3 Pt 2.60
Ni 0.8772 0.3683 0.8772  7 Ni 2.42-2.52, 3 Pt 2.60
Ni 0.5000 0.5000 0.0000  8 Ni 2.32-2.48
Ni 0.0000 0.0000 0.5000  8 Ni 2.32-2.48
Ni 0.5000 0.0000 0.0000  8 Ni 2.32-2.48
Ni 0.0000 0.5000 0.5000  8 Ni 2.32-2.48
Ni 0.5000 0.0000 0.5000  8 Ni 2.32-2.48
Ni 0.0000 0.5000 0.0000  8 Ni 2.32-2.48
Ni 0.9876 0.3375 0.3375  6 Ni 2.32-2.52
Ni 0.0124 0.6625 0.6625  6 Ni 2.32-2.52
Ni 0.3375 0.3375 0.9876  6 Ni 2.32-2.52
Ni 0.3375 0.3375 0.3375  6 Ni 2.32-2.52
Ni 0.6625 0.6625 0.0124  6 Ni 2.32-2.52
Ni 0.6625 0.6625 0.6625  6 Ni 2.32-2.52
Ni 0.3375 0.9876 0.3375  6 Ni 2.32-2.52
Ni 0.6625 0.0124 0.6625  6 Ni 2.32-2.52
Ni 0.0000 0.0000 0.0000  8 Ni 2.42
Pt 0.7280 0.7280 0.2720  1 W 2.59, 12 Ni 2.60-2.85
Pt 0.2720 0.2720 0.7280  1 W 2.59, 12 Ni 2.60-2.85
Pt 0.7280 0.2720 0.2720  1 W 2.59, 12 Ni 2.60-2.85
Pt 0.2720 0.7280 0.7280  1 W 2.59, 12 Ni 2.60-2.85
Pt 0.7280 0.2720 0.7280  1 W 2.59, 12 Ni 2.60-2.85
Pt 0.2720 0.7280 0.2720  1 W 2.59, 12 Ni 2.60-2.85
W 0.5000 0.5000 0.5000  6 Pt 2.59

Values from the calculation:
The calculation puts the calculated formation energy at 49 meV/atom. As for the final energy: -6.0234 eV/atom.


- calculated formation energy of number 1 (Pu2CdAu)?
  -187 meV/atom